The following is a DFT calculation (PBE) of a relaxed LiAg2H6Ir crystal.

a = 5.229 Å, b = 5.206 Å, c = 5.206 Å
α = 120.00°, β = 90.00°, γ = 90.00°
Atoms (fractional coordinates):
H1 0.788 0.143 0.285
H2 0.788 0.715 0.857
H3 0.212 0.857 0.143
H4 0.788 0.143 0.857
H5 0.212 0.857 0.715
H6 0.212 0.285 0.143
Ag1 0.041 0.667 0.333
Ag2 0.959 0.333 0.667
Li1 0.500 0.000 0.000
Ir1 0.000 0.000 0.000

Values from the calculation:
volume = 12.3 Å³/atom
N(E_F) = 0.00 states/eV/cell
calculated total energy = -3.7481 eV per atom
magnetic moment = 0.0 μB per formula unit
space group = P-3m1 (164)


The following is a DFT calculation (PBE) of a relaxed Mg2AgHIr crystal.

a = 4.485 Å, b = 4.485 Å, c = 3.502 Å
α = 90.00°, β = 90.00°, γ = 90.00°
Atoms (fractional coordinates):
Ir1 0.000 0.000 0.500
Mg1 0.000 0.500 0.000
Mg2 0.500 0.000 0.000
Ag1 0.500 0.500 0.500
H1 0.000 0.000 0.000

Values from the calculation:
volume = 14.1 Å³/atom
N(E_F) = 0.93 states/eV/cell
calculated total energy = -3.9065 eV per atom
magnetic moment = 0.0 μB per formula unit
space group = P4/mmm (123)


The following is a DFT calculation (PBE) of a relaxed Nb2AgHIr crystal.

a = 4.139 Å, b = 4.139 Å, c = 4.060 Å
α = 90.00°, β = 90.00°, γ = 90.00°
Atoms (fractional coordinates):
Nb1 0.500 0.000 0.000
Nb2 0.000 0.500 0.000
Ir1 0.000 0.000 0.500
Ag1 0.500 0.500 0.500
H1 0.000 0.000 0.000

Values from the calculation:
volume = 13.9 Å³/atom
N(E_F) = 3.01 states/eV/cell
calculated total energy = -7.0893 eV per atom
magnetic moment = 0.0 μB per formula unit
space group = P4/mmm (123)